Material: CuAg2
Method: DFT, PBE-GGA
State: optimized geometry

Properties
E_form   0.084 eV per atom

The structure in POSCAR format:
```
CuAg2
1.0
4.4330 -2.0211 0.0000
4.4330 2.0211 0.0000
-2.5020 0.0000 8.0327
Cu Ag
3 6
direct
0.0000 0.0000 0.0000
0.3382 0.3382 0.7842
0.6618 0.6618 0.2158
0.0017 0.0017 0.6788
0.3312 0.3312 0.4426
0.3333 0.3333 0.1038
0.6667 0.6667 0.8962
0.6688 0.6688 0.5574
0.9983 0.9983 0.3212
```